1.
Density functional theory data (PBE-GGA) for a geometry-optimized TcOs2PtC structure.

Computed properties:
Calculated volume: 68 Å³ per cell
E_form: 71.0 kJ per mole of atoms
Fermi-level density of states: 1.50 states/eV/atom

Cell lengths 4.0386, 4.0386, 4.1932 Å; angles 90.00, 90.00, 90.00 degrees
With the nearest neighbours (Å) after each atom.
Positions (direct):
Tc  0.0000  0.0000  0.0000  4 Pt 2.86, 8 Os 2.91
Os  0.0000  0.5000  0.5000  2 C 2.02
Os  0.5000  0.0000  0.5000  2 C 2.02
Pt  0.5000  0.5000  0.0000  2 C 2.10
C  0.5000  0.5000  0.5000  4 Os 2.02, 2 Pt 2.10

---

2.
Density functional theory data (PBE-GGA) for a geometry-optimized Ac8SiP3Br4 structure.

Computed properties:
ΔE_f (raw): -131.43 kJ per mole of atoms
Calculated volume: 525 Å³ per cell
Fermi-level density of states: 0.48 states/eV/atom

Cell lengths 9.1988, 9.1988, 9.1988 Å; angles 58.02, 58.02, 58.02 degrees
With the nearest neighbours (Å) after each atom.
Positions (direct):
Ac  0.2331  0.7383  0.7383  2 P 3.02, 1 Si 3.05, 1 Br 3.37
Ac  0.2357  0.2357  0.2357  3 P 3.02
Ac  0.2617  0.2617  0.7669  2 P 3.02, 1 Si 3.05, 1 Br 3.37
Ac  0.2617  0.7669  0.2617  2 P 3.02, 1 Si 3.05, 1 Br 3.37
Ac  0.7383  0.2331  0.7383  2 P 3.02, 1 Si 3.05, 1 Br 3.37
Ac  0.7383  0.7383  0.2331  2 P 3.02, 1 Si 3.05, 1 Br 3.37
Ac  0.7643  0.7643  0.7643  3 P 3.02
Ac  0.7669  0.2617  0.2617  2 P 3.02, 1 Si 3.05, 1 Br 3.37
Si  0.5000  0.5000  0.5000  6 Ac 3.05
P  0.0000  0.0000  0.5000  6 Ac 3.02
P  0.0000  0.5000  0.0000  6 Ac 3.02
P  0.5000  0.0000  0.0000  6 Ac 3.02
Br  0.0000  0.0000  0.0000  6 Ac 3.37
Br  0.0000  0.5000  0.5000  6 Ac 3.41
Br  0.5000  0.0000  0.5000  6 Ac 3.41
Br  0.5000  0.5000  0.0000  6 Ac 3.41

---

Quick rundown of M_tot, same order as above: 1.4; 0.0 μB/cell